# Zr2FeSe, optimized geometry, DFT GGA-PBE
# Uncorrected formation energy in eV/atom: -0.476
# Density of states at the Fermi level in states/eV per atom: 0.66
# E_tot in eV/atom: -7.7369
data_Zr2FeSe
_chemical_formula_sum 'Zr2 Fe1 Se1'
_cell_length_a 3.398
_cell_length_b 3.398
_cell_length_c 6.304
_cell_angle_alpha 90.00
_cell_angle_beta 90.00
_cell_angle_gamma 90.00
_space_group_name_H-M_alt 'P 4/m m m'
_space_group_IT_number 123
_space_group_name_Hall '-P 4 2'
loop_
_atom_site_label
_atom_site_type_symbol
_atom_site_fract_x
_atom_site_fract_y
_atom_site_fract_z
Zr1 Zr 0.000 0.000 0.238
Fe1 Fe 0.500 0.500 0.000
Se1 Se 0.500 0.500 0.500


# Y2Al3PdPt4, optimized geometry, DFT GGA-PBE
# Density of states at the Fermi level in states/eV per atom: 0.49
# Formation energy in eV/atom: -1.05
# E_tot in eV/atom: -6.4041
data_Y2Al3PdPt4
_chemical_formula_sum 'Y2 Al3 Pd1 Pt4'
_cell_length_a 4.047
_cell_length_b 4.047
_cell_length_c 11.358
_cell_angle_alpha 90.00
_cell_angle_beta 90.00
_cell_angle_gamma 90.00
_space_group_name_H-M_alt 'P -4 m 2'
_space_group_IT_number 115
_space_group_name_Hall 'P -4 -2'
loop_
_atom_site_label
_atom_site_type_symbol
_atom_site_fract_x
_atom_site_fract_y
_atom_site_fract_z
Y1 Y 0.000 0.500 0.242
Al1 Al 0.000 0.000 0.000
Al2 Al 0.000 0.500 0.628
Pd1 Pd 0.500 0.500 0.000
Pt1 Pt 0.000 0.000 0.500
Pt2 Pt 0.000 0.500 0.842
Pt3 Pt 0.500 0.500 0.500


# La2ZnIn, optimized geometry, DFT GGA-PBE
# Density of states at the Fermi level in states/eV per atom: 0.94
# Formation energy in eV/atom: -0.17
# E_tot in eV/atom: -3.6336
data_La2ZnIn
_chemical_formula_sum 'La2 Zn1 In1'
_cell_length_a 3.750
_cell_length_b 4.845
_cell_length_c 6.642
_cell_angle_alpha 90.00
_cell_angle_beta 90.00
_cell_angle_gamma 90.00
_space_group_name_H-M_alt 'P m m 2'
_space_group_IT_number 25
_space_group_name_Hall 'P 2 -2'
loop_
_atom_site_label
_atom_site_type_symbol
_atom_site_fract_x
_atom_site_fract_y
_atom_site_fract_z
La1 La 0.000 0.000 0.000
La2 La 0.500 0.500 0.330
Zn1 Zn 0.000 0.000 0.508
In1 In 0.500 0.500 0.808


# Si2RhAu, optimized geometry, DFT GGA-PBE
# Uncorrected formation energy in eV/atom: 0.008
# Density of states at the Fermi level in states/eV per atom: 0.78
# Energy above the most stable polymorph in this dataset in meV per atom: 292
# E_tot in eV/atom: -5.3602
data_Si2RhAu
_chemical_formula_sum 'Si4 Rh2 Au2'
_cell_length_a 3.798
_cell_length_b 3.798
_cell_length_c 8.271
_cell_angle_alpha 90.00
_cell_angle_beta 90.00
_cell_angle_gamma 90.00
_space_group_name_H-M_alt 'I -4 m 2'
_space_group_IT_number 119
_space_group_name_Hall 'I -4 -2'
loop_
_atom_site_label
_atom_site_type_symbol
_atom_site_fract_x
_atom_site_fract_y
_atom_site_fract_z
Si1 Si 0.000 0.000 0.000
Si2 Si 0.000 0.500 0.250
Rh1 Rh 0.000 0.000 0.500
Au1 Au 0.000 0.500 0.750


# Ga2Ag2Hg, optimized geometry, DFT GGA-PBE
# Density of states at the Fermi level in states/eV per atom: 0.32
# Energy above the most stable polymorph in this dataset in meV per atom: 14
# Formation energy in eV/atom: 0.06
# E_tot in eV/atom: -2.3542
data_Ga2Ag2Hg
_chemical_formula_sum 'Ga4 Ag4 Hg2'
_cell_length_a 8.125
_cell_length_b 8.125
_cell_length_c 2.999
_cell_angle_alpha 90.00
_cell_angle_beta 90.00
_cell_angle_gamma 90.00
_space_group_name_H-M_alt 'P 4/m b m'
_space_group_IT_number 127
_space_group_name_Hall '-P 4 2ab'
loop_
_atom_site_label
_atom_site_type_symbol
_atom_site_fract_x
_atom_site_fract_y
_atom_site_fract_z
Ga1 Ga 0.170 0.330 0.000
Ag1 Ag 0.129 0.629 0.500
Hg1 Hg 0.000 0.000 0.500


# GaAuN2, optimized geometry, DFT GGA-PBE
# Uncorrected formation energy in eV/atom: 0.684
# Density of states at the Fermi level in states/eV per atom: 0.64
# E_tot in eV/atom: -5.0544
data_GaAuN2
_chemical_formula_sum 'Ga3 Au3 N6'
_cell_length_a 3.0540
_cell_length_b 3.0540
_cell_length_c 18.5447
_cell_angle_alpha 90.00
_cell_angle_beta 90.00
_cell_angle_gamma 120.00
_space_group_name_H-M_alt 'R -3 m'
_space_group_IT_number 166
_space_group_name_Hall '-R 3 2"'
loop_
_atom_site_label
_atom_site_type_symbol
_atom_site_fract_x
_atom_site_fract_y
_atom_site_fract_z
Ga1 Ga 0.0000 0.0000 0.0000
Au1 Au 0.0000 0.0000 0.5000
N1 N 0.0000 0.0000 0.3921